Compound: Na2Sr2La
Source: Alexandria via LeMat-Bulk
Functional: PBE
Structure: optimized geometry

Structure (CIF):
```
data_Na2Sr2La
_chemical_formula_sum 'Na4 Sr4 La2'
_symmetry_space_group_name_H-M 'P 4/m b m'
_symmetry_Int_Tables_number 127
_symmetry_space_group_name_Hall '-P 4 2ab'
_cell_length_a 9.9635
_cell_length_b 9.9635
_cell_length_c 4.3719
_cell_angle_alpha 90.00
_cell_angle_beta 90.00
_cell_angle_gamma 90.00
loop_
_atom_site_label
_atom_site_type_symbol
_atom_site_fract_x
_atom_site_fract_y
_atom_site_fract_z
Na1 Na 0.1197 0.3803 0.0000
Sr1 Sr 0.1816 0.6816 0.5000
La1 La 0.0000 0.0000 0.0000
```

Values from the calculation:
- E (eV/f.u.) = -9.97
- total moment (Bohr magnetons per cell) = 1.40
- excess energy over the best structure of this formula in the dataset (eV per formula unit) = 0.00